First-principles (PBE) data for SrY2Ir2 after structural relaxation, as listed in Alexandria.

The structure in POSCAR format:
```
SrY2Ir2
1.0
-2.341 2.341 5.957
2.341 -2.341 5.957
2.341 2.341 -5.957
Sr Y Ir
1 2 2
direct
0.000 0.000 0.000
0.250 0.750 0.500
0.750 0.250 0.500
0.392 0.392 0.000
0.608 0.608 0.000
```

Computed properties:
Its energy relative to the elements is -0.564 eV/atom. Its calculated density is 8.3 Mg/m³. The calculation puts the offset from the most stable computed form at 0.000 eV per atom.